No. 1
VASP calculation (GGA-PBE) on a geometry-optimized CsNaGe structure.

Geometry as extended XYZ:
```
12
Lattice="7.2521 0.0000 0.0000 -3.6260 7.9487 0.0000 0.0000 0.0000 8.5496" Properties=species:S:1:pos:R:3 pbc="T T T"
Ge 3.6260 1.2288 4.4280
Ge 3.6260 6.7199 0.1532
Ge 0.0000 6.7199 4.1216
Ge 0.0000 1.2288 8.3964
Na 1.8130 0.4434 2.1374
Na -1.8130 7.5053 6.4122
Na 1.8130 7.5053 6.4122
Na 5.4391 0.4434 2.1374
Cs 3.6260 4.9210 3.5937
Cs 3.6260 3.0277 7.8684
Cs 0.0000 3.0277 4.9559
Cs 0.0000 4.9210 0.6811
```

## Properties
electronic total energy = -2.333 eV/atom

***

No. 2
VASP calculation (GGA-PBE) on a geometry-optimized BaAlTl3 structure.

Geometry as extended XYZ:
```
5
Lattice="5.5070 0.0000 0.0000 0.0000 5.5070 0.0000 0.0000 0.0000 5.5070" Properties=species:S:1:pos:R:3 pbc="T T T"
Tl 0.0000 2.7535 0.0000
Tl 0.0000 0.0000 2.7535
Tl 2.7535 0.0000 0.0000
Ba 2.7535 2.7535 2.7535
Al 0.0000 0.0000 0.0000
```

## Properties
electronic total energy = -2.596 eV/atom

***

No. 3
VASP calculation (GGA-PBE) on a geometry-optimized NaErSe2 structure.

Geometry as extended XYZ:
```
4
Lattice="7.3972 0.0000 0.0000 6.2534 3.9514 0.0000 6.2534 1.8102 3.5124" Properties=species:S:1:pos:R:3 pbc="T T T"
Na 9.9520 2.8808 1.7562
Se 5.1254 1.4836 0.9045
Se 14.7786 4.2779 2.6079
Er 0.0000 0.0000 0.0000
```

## Properties
uncorrected formation energy = -1.70 eV per atom

***

No. 4
VASP calculation (GGA-PBE) on a geometry-optimized Tl2Co structure.

Geometry as extended XYZ:
```
6
Lattice="-2.8704 7.0131 2.6157 2.5933 -5.2274 -5.4967 -4.7098 -1.7030 -0.6025" Properties=species:S:1:pos:R:3 pbc="T T T"
Tl -1.7980 -4.5803 -4.6732
Tl -3.3239 -1.1618 -2.4076
Tl -1.6630 1.2446 -1.0758
Tl -3.1889 4.6630 1.1897
Co -5.2647 3.1862 0.4740
Co 0.2778 -3.1035 -3.9575
```

## Properties
electronic total energy = -3.449 eV/atom